No. 1
The following is a DFT calculation (PBE) of a geometry-optimized AlCr2Os structure.

The mass density comes out at 10.1 Mg/m³. Its space group is Cmm2. As for the calculated formation energy: 0.38 eV per formula unit. Its calculated volume is 53 Å³/f.u. Its total energy is -33.8 eV/cell.

```
AlCr2Os
1.0
-0.1278 0.1865 2.6429
-1.3696 -2.0356 -1.0083
6.6404 -4.7947 0.6595
Al Cr Os
1 2 1
direct
0.5000 0.5000 0.7572
0.5000 0.5000 0.2359
0.0000 0.0000 0.0129
0.0000 0.0000 0.4941
```



No. 2
The following is a DFT calculation (PBE) of a geometry-optimized Be2Si structure.

The mass density comes out at 2.2 Mg/m³. The polymorph energy (0 for the lowest one) comes out at 81.2 kJ/mol of formula units. Its space group is P4/mmm. As for the energy relative to the elements, uncorrected: 0.417 eV per atom. Its calculated volume is 35 Å³/f.u. Its total energy is -11.6 eV/cell.

```
Be2Si
1.0
-1.8419 -0.2441 -2.5942
1.0991 -2.9532 -0.5025
-2.5482 -1.2767 1.9294
Si Be
1 2
direct
0.0000 0.0000 0.0000
0.5000 0.0000 0.5000
0.0000 0.5000 0.5000
```



No. 3
The following is a DFT calculation (PBE) of a geometry-optimized ScIr3 structure.

The mass density comes out at 16.6 Mg/m³. Its space group is Pmmn. As for the calculated formation energy: -1.91 eV per formula unit. Its calculated volume is 62 Å³/f.u. Its total energy is -69.6 eV/cell.

```
ScIr3
1.0
-0.5674 -2.0246 -4.0079
2.4394 -3.9018 1.6257
-4.8204 -2.2548 1.8214
Sc Ir
2 6
direct
0.0000 0.3432 0.0000
0.5000 0.6568 0.5000
0.5000 0.6832 0.0000
0.5000 0.1607 0.2521
0.5000 0.1607 0.7479
0.0000 0.8393 0.7521
0.0000 0.8393 0.2479
0.0000 0.3168 0.5000
```



No. 4
The following is a DFT calculation (PBE) of a geometry-optimized TcHOsW2 structure.

The mass density comes out at 17.2 Mg/m³. The polymorph energy (0 for the lowest one) comes out at 14.0 kJ/mol of formula units. Its space group is P4/mmm. Its calculated volume is 63 Å³/f.u. Its total energy is -50.1 eV/cell.

```
TcHOsW2
1.0
4.0168 0.0000 0.0000
0.0000 4.0168 0.0000
0.0000 0.0000 3.9271
Tc W Os H
1 2 1 1
direct
0.5000 0.5000 0.5000
0.5000 0.0000 0.0000
0.0000 0.5000 0.0000
0.0000 0.0000 0.5000
0.0000 0.0000 0.0000
```



No. 5
The following is a DFT calculation (PBE) of a geometry-optimized La2Ce3DyAs6 structure.

The mass density comes out at 6.6 Mg/m³. Its space group is C2/m. As for the calculated formation energy: -17.81 eV per formula unit. Its calculated volume is 327 Å³/f.u. Its total energy is -78.0 eV/cell.

```
La2Ce3DyAs6
1.0
-1.1235 -4.0713 0.5258
8.2145 -2.2004 0.5141
-1.7275 3.8056 8.5511
As La Dy Ce
6 2 1 3
direct
0.6651 0.0753 0.3303
0.9970 0.2451 0.9941
0.3349 0.9247 0.6697
0.3355 0.4103 0.6709
0.0030 0.7549 0.0059
0.6645 0.5897 0.3291
0.1653 0.3314 0.3305
0.8347 0.6686 0.6695
0.5000 0.0000 0.0000
0.8329 0.1655 0.6659
0.1671 0.8345 0.3341
0.5000 0.5000 0.0000
```



No. 6
The following is a DFT calculation (PBE) of a geometry-optimized Cs3Tm3PaS8 structure.

The mass density comes out at 5.0 Mg/m³. Its space group is R-3m. As for the energy relative to the elements, uncorrected: -1.811 eV per atom. Its calculated volume is 460 Å³/f.u. Its total energy is -85.6 eV/cell.

```
Cs3Tm3PaS8
1.0
-0.1736 6.6730 -4.5052
-4.5796 -0.5201 6.6040
9.1988 1.2989 1.5696
S Tm Pa Cs
8 3 1 3
direct
0.2259 0.9511 0.6770
0.7256 0.4512 0.6768
0.7252 0.9511 0.6770
0.7741 0.5482 0.3230
0.2748 0.0489 0.3230
0.7741 0.0489 0.3230
0.2259 0.4518 0.6770
0.2744 0.5488 0.3232
0.0000 0.5000 0.5000
0.5000 0.5000 0.5000
0.5000 0.0000 0.5000
0.0000 0.0000 0.5000
0.0000 0.5000 0.0000
0.0000 0.0000 0.0000
0.5000 0.5000 0.0000
```



No. 7
The following is a DFT calculation (PBE) of a geometry-optimized PmErAlTl structure.

The mass density comes out at 8.6 Mg/m³. The polymorph energy (0 for the lowest one) comes out at 10.3 kJ/mol of formula units. Its space group is F-43m. As for the calculated formation energy: -1.33 eV per formula unit. Its calculated volume is 105 Å³/f.u. Its total energy is -16.8 eV/cell.

```
PmErAlTl
1.0
-4.7553 -0.8746 -2.1497
-0.6047 -3.8058 -3.6262
-2.6793 -4.4009 1.2051
Al Pm Er Tl
1 1 1 1
direct
0.5000 0.5000 0.5000
0.2500 0.2500 0.2500
0.7500 0.7500 0.7500
0.0000 0.0000 0.0000
```



No. 8
The following is a DFT calculation (PBE) of a geometry-optimized CrIr2Br structure.

The mass density comes out at 13.5 Mg/m³. The polymorph energy (0 for the lowest one) comes out at 198.8 kJ/mol of formula units. Its space group is I-4m2. As for the energy relative to the elements, uncorrected: 0.924 eV per atom. Its calculated volume is 63 Å³/f.u. Its total energy is -25.3 eV/cell.

```
CrIr2Br
1.0
4.7359 0.2151 0.0000
0.9613 4.6423 0.0000
-2.8486 -2.4287 2.9089
Br Ir Cr
1 2 1
direct
0.5000 0.5000 0.0000
0.2500 0.7500 0.5000
0.0000 0.0000 0.0000
0.7500 0.2500 0.5000
```